An optimized crystal structure of NiHgPt2. Source: the Alexandria database, functional GGA-PBE.

Cell: 4.0422 4.0422 7.7738 Å, 90.00 90.00 90.00°
Space group I-4m2 (No. 119)
Inequivalent atoms, fractional coordinates:
Ni1 0.0000 0.0000 0.0000 [2 per cell]
Hg1 0.0000 0.5000 0.2500 [2 per cell]
Pt1 0.0000 0.0000 0.5000 [2 per cell]
Pt2 0.0000 0.5000 0.7500 [2 per cell]

Summary:
E in eV/atom: -4.4483
Total moment in μB/cell: 1.47